1.
Here is a relaxed structure of FeBC2 from the Alexandria database. Energies are from GGA-PBE.

```
FeBC2
1.0
2.7483 0.0000 0.0000
-1.3621 3.3355 0.0000
-1.3739 -1.0660 3.5631
Fe B C
1 1 2
Direct
0.0000 0.0000 0.0000
0.0911 0.4923 0.6856
0.3861 0.6385 0.1314
0.5063 0.5276 0.4814
```

Calculated values
As for the total energy: -0.5865 Ry/atom. The space-group type is No. 1. The value obtained for the formation energy is 0.4175 eV per atom.

2.
Here is a relaxed structure of LiLaSn6 from the Alexandria database. Energies are from GGA-PBE.

```
LiLaSn6
1.0
4.7370 0.0000 0.0000
0.0000 4.7370 0.0000
0.0000 0.0000 9.4012
Li La Sn
1 1 6
Direct
0.0000 0.0000 0.0000
0.0000 0.0000 0.5000
0.0000 0.5000 0.2357
0.0000 0.5000 0.7643
0.5000 0.0000 0.2357
0.5000 0.0000 0.7643
0.5000 0.5000 0.0000
0.5000 0.5000 0.5000
```

Calculated values
As for the total energy: -0.3086 Ry/atom. The space-group type is No. 123. The value obtained for the formation energy is -0.3410 eV per atom.

3.
Here is a relaxed structure of La2SmErTm4 from the Alexandria database. Energies are from GGA-PBE.

```
La2SmErTm4
1.0
7.2133 0.0000 0.0000
0.0000 9.9061 0.0000
-0.0103 0.0000 7.2315
La Sm Er Tm
4 2 2 8
Direct
0.0000 0.0000 0.0000
0.0000 0.0000 0.5000
0.0000 0.5000 0.0000
0.5000 0.0000 0.0000
0.5000 0.0000 0.5000
0.5000 0.5000 0.0000
0.0000 0.5000 0.5000
0.5000 0.5000 0.5000
0.2525 0.2544 0.2544
0.2521 0.2543 0.7457
0.2525 0.7456 0.2544
0.2521 0.7457 0.7457
0.7479 0.2543 0.2543
0.7475 0.2544 0.7456
0.7479 0.7457 0.2543
0.7475 0.7456 0.7456
```

Calculated values
As for the total energy: -0.3378 Ry/atom. The space-group type is No. 10. The value obtained for the formation energy is 0.0314 eV per atom.

Copy entry 1 word for word.
Here is a relaxed structure of FeBC2 from the Alexandria database. Energies are from GGA-PBE.

```
FeBC2
1.0
2.7483 0.0000 0.0000
-1.3621 3.3355 0.0000
-1.3739 -1.0660 3.5631
Fe B C
1 1 2
Direct
0.0000 0.0000 0.0000
0.0911 0.4923 0.6856
0.3861 0.6385 0.1314
0.5063 0.5276 0.4814
```

Calculated values
As for the total energy: -0.5865 Ry/atom. The space-group type is No. 1. The value obtained for the formation energy is 0.4175 eV per atom.